18
Lattice="4.593 0.000 0.000 0.000 4.593 0.000 0.000 0.000 9.270" Properties=species:S:1:pos:R:3 comment="VCrMoO6, relaxed, DFT PBE with a Hubbard U" rho_g_cm3=5.01 e_tot_ha_per_atom=-0.2802 spacegroup="P4_2nm, No. 102" magmom_total_mub_per_fu=5.00 pbc="T T T"
V 2.296 2.296 7.710
V 0.000 0.000 3.075
Cr 2.296 2.296 1.546
Cr 0.000 0.000 6.181
Mo 2.296 2.296 4.649
Mo 0.000 0.000 0.014
O 0.913 3.680 4.616
O 3.680 0.913 4.616
O 1.384 1.384 9.251
O 3.209 3.209 9.251
O 0.890 3.703 1.565
O 3.703 0.890 1.565
O 1.407 1.407 6.200
O 3.186 3.186 6.200
O 3.661 0.932 7.724
O 0.932 3.661 7.724
O 3.229 3.229 3.089
O 1.364 1.364 3.089